Compound: LaGdFeAg
Source: Alexandria
Functional: PBE
Structure: optimized geometry

abc: 5.133 5.133 5.133
angles: 60.00 60.00 60.00
Element x y z (fractional)
Gd1 0.750 0.750 0.750
Fe1 0.000 0.000 0.000
Ag1 0.500 0.500 0.500
La1 0.250 0.250 0.250

Calculated values
energy of formation from the pure elements: 0.09 eV/f.u.


Compound: YICl2
Source: Alexandria
Functional: PBE
Structure: optimized geometry

abc: 7.166 7.166 7.675
angles: 109.39 109.39 109.55
Element x y z (fractional)
Y1 0.118 0.432 0.418
Y2 0.432 0.118 0.918
I1 0.567 0.868 0.620
I2 0.868 0.567 0.120
Cl1 0.243 0.244 0.650
Cl2 0.697 0.079 0.226
Cl3 0.244 0.243 0.150
Cl4 0.079 0.697 0.726


Compound: CuBi2O4
Source: Alexandria
Functional: PBE
Structure: optimized geometry

abc: 3.512 6.326 5.925
angles: 119.44 107.24 90.00
Element x y z (fractional)
Cu1 0.000 0.000 0.000
Bi1 0.694 0.706 0.389
Bi2 0.306 0.294 0.611
O1 0.870 0.099 0.741
O2 0.130 0.901 0.259
O3 0.672 0.285 0.344
O4 0.328 0.715 0.656


Compound: LuPtAu
Source: Alexandria
Functional: PBE
Structure: optimized geometry

abc: 4.583 4.583 4.583
angles: 60.00 60.00 60.00
Element x y z (fractional)
Lu1 0.500 0.500 0.500
Au1 0.000 0.000 0.000
Pt1 0.250 0.250 0.250

Calculated values
energy of formation from the pure elements: -2.55 eV/f.u.


Compound: Na3Cd7Ga4
Source: Alexandria
Functional: PBE
Structure: optimized geometry

abc: 4.590 8.741 9.116
angles: 71.46 75.42 74.78
Element x y z (fractional)
Na1 0.310 0.187 0.194
Na2 0.690 0.813 0.806
Na3 0.000 0.500 0.500
Cd1 0.320 0.831 0.529
Cd2 0.493 0.217 0.796
Cd3 0.848 0.387 0.916
Cd4 0.680 0.169 0.471
Cd5 0.152 0.613 0.084
Cd6 0.000 0.000 0.000
Cd7 0.507 0.783 0.204
Ga1 0.670 0.442 0.218
Ga2 0.330 0.558 0.782
Ga3 0.882 0.900 0.335
Ga4 0.118 0.100 0.665

Calculated values
energy of formation from the pure elements: -0.85 eV/f.u.


Compound: K2AlPt
Source: Alexandria
Functional: PBE
Structure: optimized geometry

abc: 4.362 5.295 6.488
angles: 65.92 90.00 90.00
Element x y z (fractional)
K1 0.000 0.975 0.926
K2 0.500 0.272 0.331
Al1 0.500 0.586 0.704
Pt1 0.000 0.668 0.540

Calculated values
energy of formation from the pure elements: -0.68 eV/f.u.


Compound: DyPuGe
Source: Alexandria
Functional: PBE
Structure: optimized geometry

abc: 4.918 4.918 4.918
angles: 60.00 60.00 60.00
Element x y z (fractional)
Ge1 0.250 0.250 0.250
Dy1 0.000 0.000 0.000
Pu1 0.500 0.500 0.500

Calculated values
energy of formation from the pure elements: -0.81 eV/f.u.


Compound: La3Pr2Hg2
Source: Alexandria
Functional: PBE
Structure: optimized geometry

abc: 3.957 6.981 9.835
angles: 113.94 90.00 106.46
Element x y z (fractional)
La1 0.500 0.000 0.000
La2 0.601 0.203 0.444
La3 0.399 0.797 0.556
Pr1 0.844 0.688 0.177
Pr2 0.156 0.312 0.823
Hg1 0.827 0.655 0.765
Hg2 0.173 0.345 0.235

Calculated values
energy of formation from the pure elements: -1.70 eV/f.u.


Compound: CrCu2
Source: Alexandria
Functional: PBE
Structure: optimized geometry

abc: 2.453 4.036 16.473
angles: 90.00 90.00 90.00
Element x y z (fractional)
Cr1 0.000 0.250 0.612
Cr2 0.000 0.750 0.388
Cr3 0.500 0.250 0.888
Cr4 0.500 0.750 0.112
Cu1 0.000 0.250 0.038
Cu2 0.000 0.250 0.186
Cu3 0.000 0.750 0.814
Cu4 0.000 0.750 0.962
Cu5 0.500 0.250 0.314
Cu6 0.500 0.250 0.462
Cu7 0.500 0.750 0.538
Cu8 0.500 0.750 0.686

Calculated values
energy of formation from the pure elements: 1.55 eV/f.u.


Compound: LaNd2PuO8
Source: Alexandria
Functional: PBE
Structure: optimized geometry

abc: 4.101 5.576 7.661
angles: 90.03 89.98 96.38
Element x y z (fractional)
La1 0.000 0.000 0.500
Nd1 0.500 0.500 0.745
Nd2 0.500 0.500 0.255
Pu1 0.000 0.000 0.000
O1 0.049 0.766 0.213
O2 0.581 0.788 0.000
O3 0.951 0.233 0.213
O4 0.951 0.234 0.787
O5 0.419 0.212 0.000
O6 0.049 0.767 0.787
O7 0.499 0.744 0.500
O8 0.501 0.256 0.500


Compound: Sc2BeCu
Source: Alexandria
Functional: PBE
Structure: optimized geometry

abc: 3.230 3.230 6.373
angles: 90.00 90.00 90.00
Element x y z (fractional)
Sc1 0.500 0.000 0.257
Sc2 0.500 0.000 0.743
Be1 0.000 0.500 0.500
Cu1 0.000 0.500 0.000

Calculated values
energy of formation from the pure elements: -0.64 eV/f.u.


Compound: Cs2Hf4Ge
Source: Alexandria
Functional: PBE
Structure: optimized geometry

abc: 5.067 5.067 11.974
angles: 77.79 77.79 90.00
Element x y z (fractional)
Cs1 0.675 0.675 0.649
Cs2 0.325 0.325 0.351
Ge1 0.000 0.000 0.000
Hf1 0.893 0.893 0.214
Hf2 0.107 0.107 0.786
Hf3 0.000 0.500 0.000
Hf4 0.500 0.000 0.000

Calculated values
energy of formation from the pure elements: 8.32 eV/f.u.


Compound: Tl2CoHg
Source: Alexandria
Functional: PBE
Structure: optimized geometry

abc: 4.549 4.549 10.077
angles: 76.95 76.95 90.00
Element x y z (fractional)
Tl1 0.592 0.125 0.250
Tl2 0.158 0.625 0.250
Tl3 0.375 0.408 0.750
Tl4 0.875 0.842 0.750
Co1 0.500 0.500 0.000
Co2 0.250 0.750 0.500
Hg1 0.000 0.000 0.000
Hg2 0.750 0.250 0.500

Calculated values
energy of formation from the pure elements: 2.45 eV/f.u.


Compound: Ac4Ag5Au2
Source: Alexandria
Functional: PBE
Structure: optimized geometry

abc: 4.269 7.857 9.413
angles: 88.21 90.00 90.00
Element x y z (fractional)
Ac1 0.500 0.756 0.617
Ac2 0.500 0.228 0.858
Ac3 0.500 0.244 0.383
Ac4 0.500 0.772 0.142
Ag1 0.000 0.565 0.357
Ag2 0.000 0.133 0.112
Ag3 0.000 0.500 0.000
Ag4 0.000 0.867 0.888
Ag5 0.000 0.435 0.643
Au1 0.000 0.074 0.635
Au2 0.000 0.926 0.365

Calculated values
energy of formation from the pure elements: -4.53 eV/f.u.


Compound: ZnInCl
Source: Alexandria
Functional: PBE
Structure: optimized geometry

abc: 4.322 4.322 5.051
angles: 90.00 90.00 120.00
Element x y z (fractional)
Cl1 0.000 0.000 0.985
In1 0.667 0.333 0.355
Zn1 0.333 0.667 0.660


Compound: NiBiN3
Source: Alexandria
Functional: PBE
Structure: optimized geometry

abc: 3.810 3.810 3.810
angles: 90.00 90.00 90.00
Element x y z (fractional)
Ni1 0.000 0.000 0.000
Bi1 0.500 0.500 0.500
N1 0.000 0.500 0.000
N2 0.000 0.000 0.500
N3 0.500 0.000 0.000


Compound: Sb2OsPt
Source: Alexandria
Functional: PBE
Structure: optimized geometry

abc: 3.783 3.778 5.446
angles: 90.00 90.00 90.00
Element x y z (fractional)
Os1 0.000 0.000 0.444
Pt1 0.500 0.500 0.805
Sb1 0.000 0.000 0.937
Sb2 0.500 0.500 0.314


Compound: LiRu3
Source: Alexandria
Functional: PBE
Structure: optimized geometry

abc: 4.424 4.424 2.769
angles: 90.00 90.00 90.00
Element x y z (fractional)
Li1 0.000 0.000 0.000
Ru1 0.500 0.000 0.500
Ru2 0.500 0.500 0.000
Ru3 0.000 0.500 0.500

Calculated values
energy of formation from the pure elements: 1.38 eV/f.u.


Compound: SmErRuRh
Source: Alexandria
Functional: PBE
Structure: optimized geometry

abc: 3.433 3.433 6.852
angles: 90.00 90.00 90.00
Element x y z (fractional)
Sm1 0.500 0.500 0.102
Er1 0.500 0.500 0.610
Ru1 0.000 0.000 0.849
Rh1 0.000 0.000 0.366

Calculated values
energy of formation from the pure elements: -2.30 eV/f.u.


Compound: KPmF5
Source: Alexandria
Functional: PBE
Structure: optimized geometry

abc: 4.100 4.100 6.288
angles: 90.00 90.00 90.00
Element x y z (fractional)
K1 0.000 0.000 0.500
Pm1 0.500 0.500 0.000
F1 0.000 0.500 0.807
F2 0.000 0.500 0.193
F3 0.500 0.000 0.807
F4 0.500 0.000 0.193
F5 0.500 0.500 0.500


Compound: Ti3SnIr3
Source: Alexandria
Functional: PBE
Structure: optimized geometry

abc: 7.770 7.770 7.770
angles: 90.00 90.00 90.00
Element x y z (fractional)
Ti1 0.843 0.343 0.157
Ti2 0.880 0.880 0.880
Ti3 0.784 0.716 0.284
Ti4 0.157 0.843 0.343
Ti5 0.216 0.216 0.216
Ti6 0.284 0.784 0.716
Ti7 0.120 0.380 0.620
Ti8 0.343 0.157 0.843
Ti9 0.716 0.284 0.784
Ti10 0.657 0.657 0.657
Ti11 0.620 0.120 0.380
Ti12 0.380 0.620 0.120
Sn1 0.056 0.556 0.944
Sn2 0.944 0.056 0.556
Sn3 0.444 0.444 0.444
Sn4 0.556 0.944 0.056
Ir1 0.695 0.595 0.984
Ir2 0.905 0.016 0.195
Ir3 0.984 0.695 0.595
Ir4 0.095 0.516 0.305
Ir5 0.305 0.095 0.516
Ir6 0.195 0.905 0.016
Ir7 0.016 0.195 0.905
Ir8 0.405 0.484 0.805
Ir9 0.516 0.305 0.095
Ir10 0.595 0.984 0.695
Ir11 0.805 0.405 0.484
Ir12 0.484 0.805 0.405

Calculated values
energy of formation from the pure elements: -4.16 eV/f.u.


Compound: SiSn3H
Source: Alexandria
Functional: PBE
Structure: optimized geometry

abc: 4.701 4.701 4.701
angles: 90.00 90.00 90.00
Element x y z (fractional)
H1 0.000 0.000 0.000
Si1 0.500 0.500 0.500
Sn1 0.000 0.500 0.000
Sn2 0.000 0.000 0.500
Sn3 0.500 0.000 0.000


Compound: TiCoPbW2
Source: Alexandria
Functional: PBE
Structure: optimized geometry

abc: 4.543 4.682 4.543
angles: 90.00 90.00 90.00
Element x y z (fractional)
Pb1 0.000 0.500 0.000
Co1 0.000 0.000 0.000
W1 0.000 0.000 0.500
W2 0.500 0.000 0.000
Ti1 0.500 0.500 0.500

Calculated values
energy of formation from the pure elements: 6.26 eV/f.u.


Compound: Zr2Al6Rh
Source: Alexandria
Functional: PBE
Structure: optimized geometry

abc: 5.667 5.627 5.627
angles: 60.00 90.01 90.01
Element x y z (fractional)
Zr1 0.871 0.667 0.667
Zr2 0.129 0.333 0.333
Al1 0.315 0.349 0.825
Al2 0.315 0.825 0.825
Al3 0.315 0.825 0.349
Al4 0.685 0.651 0.175
Al5 0.685 0.175 0.175
Al6 0.685 0.175 0.651
Rh1 0.000 0.000 0.000

Calculated values
energy of formation from the pure elements: -4.89 eV/f.u.


Compound: Pm3Pr5Ho4
Source: Alexandria
Functional: PBE
Structure: optimized geometry

abc: 5.912 5.735 14.695
angles: 84.13 78.40 58.97
Element x y z (fractional)
Pm1 0.456 0.339 0.749
Pm2 0.000 0.500 0.500
Pm3 0.544 0.661 0.251
Pr1 0.669 0.661 0.000
Pr2 0.500 0.500 0.500
Pr3 0.204 0.341 0.251
Pr4 0.796 0.659 0.749
Pr5 0.331 0.339 0.000
Ho1 0.062 0.999 0.877
Ho2 0.177 0.999 0.647
Ho3 0.823 0.001 0.353
Ho4 0.938 0.001 0.123

Calculated values
energy of formation from the pure elements: 2.57 eV/f.u.


For reference, total moment by record: 5.92; 0.00; 0.91; 0.00; 0.00; 0.00; 6.54; 0.00; 2.45; 0.99; 0.00; 1.07; 1.46; 0.00; 0.00; 0.03; 0.00; 0.00; 0.00; 1.01; 0.00; 0.00; 0.00; 0.00; 0.01 μB per formula unit.
For reference, final energy by record: -30.24; -39.11; -37.73; -16.39; -23.32; -12.66; -24.36; -26.65; -65.05; -104.61; -21.12; -37.82; -19.39; -41.78; -6.68; -27.70; -24.89; -28.36; -28.21; -36.90; -233.74; -18.47; -38.36; -51.80; -53.89 eV for the cell shown.